## Ir3C (PBE)

Data for a geometry-optimized Ir3C structure.

- Formation energy: 0.84 eV per atom
- Electronic total energy: -8.11 eV per atom
- Offset from the most stable computed form: 350 meV/atom
- Magnetic moment: 0.00 Bohr magnetons per cell

abc: 2.7342 2.7342 6.6169
angles: 90.00 90.00 90.00
Space group P4/mmm (No. 123)
One atom of each set of equivalent atoms:
Ir: 0.0000 0.0000 0.0000 x1
Ir: 0.5000 0.5000 0.2990 x2
C: 0.0000 0.0000 0.5000 x1